(1)
CaMnNi2 after structural relaxation. Source: Alexandria via LeMat-Bulk, functional GGA-PBE.

Crystal system = orthorhombic
Total magnetization = 4.59 μB/f.u.
Formation enthalpy at 0 K = 0.85 eV per formula unit
ρ = 5.6 g/cm³
Energy above the lowest structure with this stoichiometry = 0.234 eV/atom
Energy = -5.4719 eV per atom

Cell: 2.9983 4.4959 9.3839 Å, 90.00 90.00 90.00°
Space group Imm2 (No. 44)
Unique sites:
1 Ca 0.0000 0.0000 0.0000 x2
2 Mn 0.0000 0.5000 0.7904 x2
3 Ni 0.0000 0.0000 0.5142 x2
4 Ni 0.0000 0.5000 0.2268 x2

=====

(2)
YTcTe2 after structural relaxation. Source: Alexandria via LeMat-Bulk, functional GGA-PBE.

Crystal system = tetragonal
Total magnetization = 0.00 μB/f.u.
Formation energy from raw total energies = -27.7 meV/atom
ρ = 8.1 g/cm³
Energy above the lowest structure with this stoichiometry = 0.423 eV/atom
Energy = -5.8060 eV per atom

Cell: 4.4073 4.4073 9.3605 Å, 90.00 90.00 90.00°
Space group I-4m2 (No. 119)
Unique sites:
1 Y 0.0000 0.0000 0.0000 x2
2 Tc 0.0000 0.5000 0.7500 x2
3 Te 0.0000 0.0000 0.5000 x2
4 Te 0.0000 0.5000 0.2500 x2

=====

(3)
Zr2SiMoC after structural relaxation. Source: Alexandria via LeMat-Bulk, functional GGA-PBE.

Crystal system = tetragonal
Total magnetization = 0.00 μB/f.u.
Formation energy from raw total energies = 939.5 meV/atom
ρ = 5.8 g/cm³
Energy = -7.5754 eV per atom

Cell: 5.0799 5.0799 3.5076 Å, 90.00 90.00 90.00°
Space group P4/mmm (No. 123)
Unique sites:
1 Zr 0.0000 0.5000 0.0000 x2
2 Si 0.0000 0.0000 0.0000 x1
3 Mo 0.5000 0.5000 0.5000 x1
4 C 0.0000 0.0000 0.5000 x1

=====

(4)
Pb2SeI after structural relaxation. Source: Alexandria via LeMat-Bulk, functional GGA-PBE.

Crystal system = trigonal
Total magnetization = 0.00 μB/f.u.
Formation energy from raw total energies = -378.8 meV/atom
ρ = 7.7 g/cm³
Energy above the lowest structure with this stoichiometry = 0.014 eV/atom
Energy = -3.4916 eV per atom

Cell: 4.1607 4.1607 26.7631 Å, 90.00 90.00 120.00°
Space group R3m (No. 160, hexagonal axes)
Unique sites:
1 Pb 0.0000 0.0000 0.0000 x3
2 Pb 0.0000 0.0000 0.1896 x3
3 Se 0.0000 0.0000 0.5927 x3
4 I 0.0000 0.0000 0.7634 x3

=====

Q: What is the total magnetization in the first record?
A: 4.59 μB/f.u.

=====

Q: Look up the total magnetization of the fourth one.
A: 0.00 μB/f.u.